Li2AlSi | GGA-PBEsol | relaxed

Calculated values
Total DFT energy (no corrections) ... -28.7 eV for the cell shown

abc: 4.2697 4.2697 8.1955
angles: 90.00 90.00 120.00
Last column: nearest neighbours and their distance in Å.
Space group P6_3/mmc (No. 194)
Inequivalent atoms, fractional coordinates:
Li 0.3333 0.6667 0.0706 [4 per cell]  4 Si 2.63-2.87, 4 Li 2.72-2.94, 3 Al 2.87
Al 0.0000 0.0000 0.2500 [2 per cell]  3 Si 2.47
Si 0.3333 0.6667 0.7500 [2 per cell]  3 Al 2.47, 2 Li 2.63


Mg14MnZnO16 | GGA-PBEsol | relaxed

Calculated values
Total DFT energy (no corrections) ... -201.1 eV for the cell shown

abc: 4.2364 8.4681 8.4805
angles: 90.00 90.00 90.00
Last column: nearest neighbours and their distance in Å.
Space group Pmmm (No. 47)
Inequivalent atoms, fractional coordinates:
Mg 0.0000 0.0000 0.0000 [1 per cell]  6 O 2.08-2.12
Mg 0.0000 0.2490 0.2494 [4 per cell]  6 O 2.11-2.13
Mg 0.0000 0.5000 0.0000 [1 per cell]  6 O 2.07-2.12
Mg 0.5000 0.0000 0.2501 [2 per cell]  6 O 2.12
Mg 0.5000 0.2480 0.5000 [2 per cell]  6 O 2.10-2.13
Mg 0.5000 0.2498 0.0000 [2 per cell]  6 O 2.12-2.13
Mg 0.5000 0.5000 0.2487 [2 per cell]  6 O 2.11-2.13
Mn 0.0000 0.5000 0.5000 [1 per cell]  6 O 2.12-2.17
Zn 0.0000 0.0000 0.5000 [1 per cell]  6 O 2.09-2.16
O 0.0000 0.0000 0.2454 [2 per cell]  5 Mg 2.08-2.12, 1 Zn 2.16
O 0.0000 0.2463 0.5000 [2 per cell]  1 Zn 2.09, 4 Mg 2.12-2.13, 1 Mn 2.15
O 0.0000 0.2496 0.0000 [2 per cell]  6 Mg 2.11-2.12
O 0.0000 0.5000 0.2439 [2 per cell]  5 Mg 2.07-2.13, 1 Mn 2.17
O 0.5000 0.0000 0.0000 [1 per cell]  6 Mg 2.12
O 0.5000 0.0000 0.5000 [1 per cell]  4 Mg 2.10-2.12, 2 Zn 2.12
O 0.5000 0.2501 0.2509 [4 per cell]  6 Mg 2.11-2.13
O 0.5000 0.5000 0.0000 [1 per cell]  6 Mg 2.11-2.12
O 0.5000 0.5000 0.5000 [1 per cell]  2 Mn 2.12, 4 Mg 2.13


Al2CuSi | GGA-PBEsol | relaxed

Calculated values
Total DFT energy (no corrections) ... -36.1 eV for the cell shown

abc: 3.8125 3.8125 7.8023
angles: 90.00 90.00 90.00
Last column: nearest neighbours and their distance in Å.
Space group I-4m2 (No. 119)
Inequivalent atoms, fractional coordinates:
Al 0.0000 0.0000 0.0000 [2 per cell]  4 Cu 2.70, 4 Al 2.73, 4 Si 2.73
Al 0.0000 0.5000 0.2500 [2 per cell]  4 Si 2.70, 4 Al 2.73, 4 Cu 2.73
Cu 0.0000 0.0000 0.5000 [2 per cell]  8 Al 2.70-2.73, 4 Si 2.73
Si 0.0000 0.5000 0.7500 [2 per cell]  8 Al 2.70-2.73, 4 Cu 2.73


InRh2Au | GGA-PBEsol | relaxed

Calculated values
Total DFT energy (no corrections) ... -67.9 eV for the cell shown

abc: 2.8818 2.8818 26.7291
angles: 90.00 90.00 120.00
Last column: nearest neighbours and their distance in Å.
Space group R3m (No. 160, hexagonal axes)
Inequivalent atoms, fractional coordinates:
In 0.0000 0.0000 0.0000 [3 per cell]  3 Rh 2.77, 6 In 2.88, 3 Au 2.93
Rh 0.0000 0.0000 0.2506 [3 per cell]  9 Rh 2.61-2.88, 3 In 2.77
Rh 0.0000 0.0000 0.5085 [3 per cell]  9 Rh 2.61-2.88, 3 Au 2.81
Au 0.0000 0.0000 0.7570 [3 per cell]  3 Rh 2.81, 6 Au 2.88, 3 In 2.93


Y2HgRu | GGA-PBEsol | relaxed

Calculated values
Total DFT energy (no corrections) ... -24.7 eV for the cell shown

abc: 3.4282 3.4282 7.8176
angles: 90.00 90.00 90.00
Last column: nearest neighbours and their distance in Å.
Space group P4mm (No. 99)
Inequivalent atoms, fractional coordinates:
Y 0.0000 0.0000 0.0000 [1 per cell]  4 Ru 2.85, 1 Hg 3.05
Y 0.5000 0.5000 0.3736 [1 per cell]  4 Hg 3.05, 1 Ru 3.39
Hg 0.0000 0.0000 0.6105 [1 per cell]  4 Ru 2.87, 5 Y 3.05
Ru 0.5000 0.5000 0.8072 [1 per cell]  4 Y 2.85, 4 Hg 2.87


SrZn2Ni | GGA-PBEsol | relaxed

Calculated values
Total DFT energy (no corrections) ... -11.1 eV for the cell shown

abc: 4.0601 4.0779 5.2310
angles: 90.00 108.19 90.00
Last column: nearest neighbours and their distance in Å.
Space group P2/m (No. 10)
Inequivalent atoms, fractional coordinates:
Sr 0.0000 0.0000 0.0000 [1 per cell]  2 Ni 2.77
Zn 0.3264 0.5000 0.6631 [2 per cell]  2 Ni 2.40, 2 Zn 2.53-2.67
Ni 0.5000 0.0000 0.5000 [1 per cell]  4 Zn 2.40


Li2VO2F | GGA-PBEsol | relaxed

Calculated values
Total DFT energy (no corrections) ... -82.0 eV for the cell shown

abc: 5.2209 2.7529 6.9198
angles: 90.00 90.42 90.00
Last column: nearest neighbours and their distance in Å.
Space group P2_1/m (No. 11)
Inequivalent atoms, fractional coordinates:
Li 0.0714 0.2500 0.3260 [2 per cell]  4 O 1.99-2.08, 2 F 2.00
Li 0.2749 0.7500 0.0034 [2 per cell]  2 F 2.00, 3 O 2.02-2.06
V 0.4454 0.2500 0.6399 [2 per cell]  5 O 1.95-1.97
O 0.2373 0.7500 0.5082 [2 per cell]  3 V 1.95-1.97, 3 Li 1.99-2.05
O 0.4229 0.2500 0.1854 [2 per cell]  2 V 1.95, 4 Li 2.02-2.08
F 0.1101 0.2500 0.8329 [2 per cell]  4 Li 2.00, 1 V 2.21


MnTe2Au | GGA-PBEsol | relaxed

Calculated values
Total DFT energy (no corrections) ... -39.1 eV for the cell shown

abc: 3.9212 3.9212 12.1259
angles: 90.00 90.00 90.00
Last column: nearest neighbours and their distance in Å.
Space group I-4m2 (No. 119)
Inequivalent atoms, fractional coordinates:
Mn 0.0000 0.0000 0.0000 [2 per cell]  4 Te 2.77
Te 0.0000 0.0000 0.5000 [2 per cell]  4 Mn 2.77
Te 0.0000 0.5000 0.2500 [2 per cell]  4 Au 2.77
Au 0.0000 0.5000 0.7500 [2 per cell]  4 Te 2.77


TeWSe2 | GGA-PBEsol | relaxed

Calculated values
Total DFT energy (no corrections) ... -25.6 eV for the cell shown

abc: 3.0409 3.0409 9.6873
angles: 90.00 90.00 90.00
Last column: nearest neighbours and their distance in Å.
Space group P4/mmm (No. 123)
Inequivalent atoms, fractional coordinates:
Te 0.0000 0.0000 0.0000 [1 per cell]  4 Te 3.04
W 0.0000 0.0000 0.5000 [1 per cell]  8 Se 2.65
Se 0.5000 0.5000 0.3401 [2 per cell]  4 W 2.65


La6Zn4Pd13 | GGA-PBEsol | relaxed

Calculated values
Total DFT energy (no corrections) ... -267.8 eV for the cell shown

abc: 9.5951 9.5951 9.5951
angles: 90.00 90.00 90.00
Last column: nearest neighbours and their distance in Å.
Space group Im-3m (No. 229)
Inequivalent atoms, fractional coordinates:
La 0.0000 0.0000 0.3031 [12 per cell]  9 Pd 2.91-3.19
Zn 0.2500 0.2500 0.2500 [8 per cell]  6 Pd 2.64
Pd 0.0000 0.0000 0.0000 [2 per cell]  6 La 2.91
Pd 0.0000 0.3312 0.3312 [24 per cell]  2 Zn 2.64, 4 Pd 2.77


NiP3 | GGA-PBEsol | relaxed

Calculated values
Total DFT energy (no corrections) ... -47.7 eV for the cell shown

abc: 2.5200 10.0682 4.6346
angles: 90.00 90.00 90.00
Last column: nearest neighbours and their distance in Å.
Space group Imm2 (No. 44)
Inequivalent atoms, fractional coordinates:
Ni 0.0000 0.0000 0.0000 [2 per cell]  6 P 2.20-2.36
P 0.0000 0.3451 0.2300 [4 per cell]  1 P 2.22, 2 Ni 2.36
P 0.0000 0.5000 0.8879 [2 per cell]  2 Ni 2.20, 2 P 2.22


SrHfGeI2 | GGA-PBEsol | relaxed

Calculated values
Total DFT energy (no corrections) ... -19.7 eV for the cell shown

abc: 5.7442 5.7442 5.2740
angles: 90.00 90.00 90.00
Last column: nearest neighbours and their distance in Å.
Space group P4/mmm (No. 123)
Inequivalent atoms, fractional coordinates:
Sr 0.0000 0.0000 0.0000 [1 per cell]  8 I 3.90, 4 Hf 4.06
Hf 0.5000 0.5000 0.0000 [1 per cell]  2 Ge 2.64
Ge 0.5000 0.5000 0.5000 [1 per cell]  2 Hf 2.64, 4 I 2.87
I 0.0000 0.5000 0.5000 [2 per cell]  2 Ge 2.87


CaInSCl2 | GGA-PBEsol | relaxed

Calculated values
Total DFT energy (no corrections) ... -18.4 eV for the cell shown

abc: 5.1355 5.1355 5.1174
angles: 90.00 90.00 90.00
Last column: nearest neighbours and their distance in Å.
Space group P4/mmm (No. 123)
Inequivalent atoms, fractional coordinates:
Ca 0.0000 0.0000 0.0000 [1 per cell]  8 Cl 3.62, 4 S 3.63
In 0.5000 0.5000 0.5000 [1 per cell]  2 S 2.56, 4 Cl 2.57
S 0.5000 0.5000 0.0000 [1 per cell]  2 In 2.56
Cl 0.0000 0.5000 0.5000 [2 per cell]  2 In 2.57


GaP3O9 | GGA-PBEsol | relaxed

Calculated values
Total DFT energy (no corrections) ... -1145.8 eV for the cell shown

abc: 13.0548 19.0156 9.3633
angles: 90.00 126.76 90.00
Last column: nearest neighbours and their distance in Å.
Space group Cc (No. 9)
Inequivalent atoms, fractional coordinates:
Ga 0.0000 0.0795 0.0000 [4 per cell]  6 O 1.95-1.97
Ga 0.0188 0.2441 0.5315 [4 per cell]  6 O 1.94-1.96
Ga 0.4981 0.0890 0.4964 [4 per cell]  6 O 1.93-1.99
P 0.1332 0.0309 0.8194 [4 per cell]  4 O 1.50-1.60
P 0.1459 0.3012 0.3448 [4 per cell]  4 O 1.49-1.59
P 0.1493 0.3622 0.8417 [4 per cell]  4 O 1.50-1.59
P 0.2348 0.4823 0.7259 [4 per cell]  4 O 1.49-1.59
P 0.2495 0.1841 0.2459 [4 per cell]  4 O 1.49-1.60
P 0.2743 0.1472 0.7879 [4 per cell]  4 O 1.49-1.60
P 0.3576 0.0274 0.6633 [4 per cell]  4 O 1.49-1.60
P 0.3724 0.3638 0.6896 [4 per cell]  4 O 1.49-1.59
P 0.3741 0.3049 0.1963 [4 per cell]  4 O 1.50-1.60
O 0.0224 0.0524 0.8184 [4 per cell]  1 P 1.50
O 0.0414 0.3614 0.8568 [4 per cell]  1 P 1.50
O 0.0436 0.2901 0.3689 [4 per cell]  1 P 1.50
O 0.0993 0.0011 0.6477 [4 per cell]  1 P 1.50
O 0.1238 0.3573 0.2175 [4 per cell]  1 P 1.49
O 0.1342 0.4759 0.0668 [4 per cell]  1 P 1.50
O 0.1416 0.3106 0.7149 [4 per cell]  1 P 1.50
O 0.1600 0.1778 0.6196 [4 per cell]  1 P 1.50
O 0.1619 0.1308 0.1098 [4 per cell]  1 P 1.49
O 0.1657 0.2277 0.2852 [4 per cell]  2 P 1.58
O 0.1659 0.4389 0.7915 [4 per cell]  2 P 1.59
O 0.2186 0.0238 0.4769 [4 per cell]  2 P 1.59-1.60
O 0.2323 0.0937 0.8768 [4 per cell]  2 P 1.60
O 0.2750 0.4260 0.6417 [4 per cell]  2 P 1.59
O 0.2825 0.3555 0.0331 [4 per cell]  2 P 1.58-1.59
O 0.2825 0.3101 0.5318 [4 per cell]  2 P 1.59
O 0.2848 0.2379 0.1495 [4 per cell]  2 P 1.60
O 0.3474 0.4813 0.3836 [4 per cell]  1 P 1.49
O 0.3491 0.1004 0.7372 [4 per cell]  2 P 1.58-1.59
O 0.3681 0.1602 0.4215 [4 per cell]  1 P 1.50
O 0.3700 0.1946 0.9362 [4 per cell]  1 P 1.49
O 0.3751 0.0310 0.2827 [4 per cell]  1 P 1.49
O 0.4031 0.3376 0.3628 [4 per cell]  1 P 1.50
O 0.4132 0.3308 0.8611 [4 per cell]  1 P 1.49
O 0.4559 0.0349 0.6303 [4 per cell]  1 P 1.50
O 0.4755 0.3899 0.6777 [4 per cell]  1 P 1.50
O 0.4875 0.2884 0.1993 [4 per cell]  1 P 1.50


LiInNi | GGA-PBEsol | relaxed

Calculated values
Total DFT energy (no corrections) ... -11.5 eV for the cell shown

abc: 4.2065 4.2065 2.7598
angles: 90.00 90.00 120.00
Last column: nearest neighbours and their distance in Å.
Space group P3m1 (No. 156)
Inequivalent atoms, fractional coordinates:
Li 0.0000 0.0000 0.0000 [1 per cell]  3 Ni 2.43
In 0.6667 0.3333 0.4789 [1 per cell]  2 In 2.76, 6 Li 2.77-2.82, 6 Ni 2.77-2.81
Ni 0.3333 0.6667 0.9650 [1 per cell]  3 Li 2.43


Nb2GaNi3 | GGA-PBEsol | relaxed

Calculated values
Total DFT energy (no corrections) ... -91.0 eV for the cell shown

abc: 4.8611 4.8611 7.6899
angles: 90.00 90.00 120.00
Last column: nearest neighbours and their distance in Å.
Space group P6_3/mmc (No. 194)
Inequivalent atoms, fractional coordinates:
Nb 0.3333 0.6667 0.0576 [4 per cell]  9 Ni 2.73-2.85, 3 Ga 2.84, 4 Nb 2.94-2.96
Ga 0.0000 0.0000 0.0000 [2 per cell]  6 Ni 2.40
Ni 0.1715 0.3430 0.7500 [6 per cell]  4 Ni 2.36-2.50, 2 Ga 2.40


ZrAg2Sb | GGA-PBEsol | relaxed

Calculated values
Total DFT energy (no corrections) ... -59.9 eV for the cell shown

abc: 3.0663 3.0663 29.7586
angles: 90.00 90.00 120.00
Last column: nearest neighbours and their distance in Å.
Space group R-3m (No. 166, hexagonal axes)
Inequivalent atoms, fractional coordinates:
Zr 0.0000 0.0000 0.0000 [3 per cell]  6 Ag 3.01, 6 Zr 3.07
Ag 0.0000 0.0000 0.2515 [6 per cell]  3 Zr 3.01, 6 Ag 3.07, 3 Sb 3.08
Sb 0.0000 0.0000 0.5000 [3 per cell]  6 Sb 3.07, 6 Ag 3.08


ScMnNi2 | GGA-PBEsol | relaxed

Calculated values
Total DFT energy (no corrections) ... -28.8 eV for the cell shown

abc: 3.1408 3.1408 5.4824
angles: 90.00 90.00 90.00
Last column: nearest neighbours and their distance in Å.
Space group P4mm (No. 99)
Inequivalent atoms, fractional coordinates:
Sc 0.0000 0.0000 0.0000 [1 per cell]  6 Ni 2.58-2.79, 4 Mn 2.86
Mn 0.5000 0.5000 0.3291 [1 per cell]  5 Ni 2.37-2.43
Ni 0.0000 0.0000 0.5092 [1 per cell]  4 Mn 2.43, 4 Ni 2.61, 1 Sc 2.69
Ni 0.5000 0.5000 0.7605 [1 per cell]  1 Mn 2.37, 4 Sc 2.58, 4 Ni 2.61


CoRe2W | GGA-PBEsol | relaxed

Calculated values
Total DFT energy (no corrections) ... -94.6 eV for the cell shown

abc: 5.2484 8.6843 2.6374
angles: 90.00 111.10 90.00
Last column: nearest neighbours and their distance in Å.
Space group C2/m (No. 12)
Inequivalent atoms, fractional coordinates:
Co 0.0000 0.0000 0.0000 [2 per cell]  2 W 2.62, 4 Re 2.63, 2 Co 2.64
Re 0.2500 0.2500 0.5000 [4 per cell]  4 Re 2.62-2.64, 2 Co 2.63, 2 W 2.63
W 0.0000 0.5000 0.0000 [2 per cell]  2 Co 2.62, 4 Re 2.63, 2 W 2.64


Sc2TaCd | GGA-PBEsol | relaxed

Calculated values
Total DFT energy (no corrections) ... -26.6 eV for the cell shown

abc: 3.1123 4.2905 6.0818
angles: 90.00 90.00 90.00
Last column: nearest neighbours and their distance in Å.
Space group Pmm2 (No. 25)
Inequivalent atoms, fractional coordinates:
Sc 0.0000 0.0000 0.0000 [1 per cell]  2 Ta 2.98-3.11, 4 Cd 3.04, 6 Sc 3.11-3.13
Sc 0.5000 0.5000 0.2747 [1 per cell]  2 Cd 2.92-3.16, 4 Ta 2.95, 6 Sc 3.11-3.13
Ta 0.0000 0.0000 0.4892 [1 per cell]  6 Sc 2.95-3.11, 4 Cd 3.10, 2 Ta 3.11
Cd 0.5000 0.5000 0.7547 [1 per cell]  6 Sc 2.92-3.16, 4 Ta 3.10, 2 Cd 3.11